Compound: CeHo2Ga
Source: Alexandria
Functional: PBE
Structure: relaxed

Unit cell a=7.3898 b=7.3898 c=7.3898 alpha=90.00 beta=90.00 gamma=90.00
Closest atoms and distances in Å follow each position.
Element x y z (fractional)
Ce 0.0000 0.0000 0.0000  8 Ho 3.20
Ce 0.0000 0.5000 0.5000  8 Ho 3.20
Ce 0.5000 0.0000 0.5000  8 Ho 3.20
Ce 0.5000 0.5000 0.0000  8 Ho 3.20
Ho 0.2500 0.2500 0.2500  4 Ce 3.20, 4 Ga 3.20
Ho 0.2500 0.2500 0.7500  4 Ce 3.20, 4 Ga 3.20
Ho 0.2500 0.7500 0.2500  4 Ce 3.20, 4 Ga 3.20
Ho 0.2500 0.7500 0.7500  4 Ce 3.20, 4 Ga 3.20
Ho 0.7500 0.2500 0.2500  4 Ce 3.20, 4 Ga 3.20
Ho 0.7500 0.2500 0.7500  4 Ce 3.20, 4 Ga 3.20
Ho 0.7500 0.7500 0.2500  4 Ce 3.20, 4 Ga 3.20
Ho 0.7500 0.7500 0.7500  4 Ce 3.20, 4 Ga 3.20
Ga 0.0000 0.0000 0.5000  8 Ho 3.20
Ga 0.0000 0.5000 0.0000  8 Ho 3.20
Ga 0.5000 0.0000 0.0000  8 Ho 3.20
Ga 0.5000 0.5000 0.5000  8 Ho 3.20

Summary:
ΔE_f: -36 meV per atom
Relative energy among the computed polymorphs: 211 meV/atom
Symmetry: Fm-3m
D(E_F): 21.61 states/eV/cell
Volume: 404 Å³/cell
Mass density: 8.88 g cm⁻³

---

Compound: Nd2TaSnN5
Source: Alexandria
Functional: PBE
Structure: relaxed

Unit cell a=7.2808 b=7.2808 c=10.6347 alpha=90.00 beta=90.00 gamma=153.52
Closest atoms and distances in Å follow each position.
Element x y z (fractional)
Nd 0.1170 0.8830 0.5000  3 N 2.44-2.49
Nd 0.1340 0.8660 0.0741  6 N 2.51-2.56
Nd 0.8660 0.1340 0.5742  6 N 2.51-2.56
Nd 0.8830 0.1170 0.0000  3 N 2.44-2.49
Ta 0.2261 0.7739 0.7986  5 N 1.97-2.18
Ta 0.7739 0.2261 0.2986  5 N 1.97-2.18
Sn 0.4822 0.5178 0.2650  4 N 2.03-2.19
Sn 0.5178 0.4822 0.7650  4 N 2.03-2.19
N 0.0677 0.9323 0.8508  2 Sn 2.03
N 0.2810 0.7190 0.4307  2 Ta 2.18, 1 Nd 2.44
N 0.2994 0.7006 0.1711  2 Ta 2.18
N 0.3652 0.6348 0.7974  1 Ta 1.97, 1 Sn 2.19
N 0.4984 0.5016 0.5729  1 Sn 2.06
N 0.5016 0.4984 0.0729  1 Sn 2.06
N 0.6348 0.3652 0.2974  1 Ta 1.97, 1 Sn 2.19
N 0.7006 0.2994 0.6711  2 Ta 2.18
N 0.7190 0.2810 0.9307  2 Ta 2.18, 1 Nd 2.44
N 0.9323 0.0677 0.3508  2 Sn 2.03

Summary:
Symmetry: Cmc2_1
D(E_F): 0.06 states/eV/cell
Volume: 251 Å³/cell
Formation energy without anion corrections: -867 meV/atom
Mass density: 8.69 g cm⁻³

---

Compound: Mn3NbAs
Source: Alexandria
Functional: PBE
Structure: relaxed

Unit cell a=4.2455 b=4.2455 c=4.2455 alpha=90.00 beta=90.00 gamma=90.00
Closest atoms and distances in Å follow each position.
Element x y z (fractional)
Mn 0.0000 0.0000 0.5000  2 As 2.12
Mn 0.0000 0.5000 0.0000  2 As 2.12
Mn 0.5000 0.0000 0.0000  2 As 2.12
Nb 0.5000 0.5000 0.5000  12 Mn 3.00
As 0.0000 0.0000 0.0000  6 Mn 2.12

Summary:
ΔE_f: 828 meV per atom
Relative energy among the computed polymorphs: 0 meV/atom
Symmetry: Pm-3m
D(E_F): 4.39 states/eV/cell
Volume: 77 Å³/cell
Mass density: 7.22 g cm⁻³